The following is a GGA-PBE calculation of a geometry-optimized ThZnCo structure, from Alexandria via LeMat-Bulk.

The calculation puts the final energy at -5.405 eV per atom. For the formation energy, the calculation gives -0.1388 eV/atom. The calculation puts the size of the total moment at 0.0000 μB/atom.

```
3
Lattice="4.472 0.000 0.000 2.236 3.873 0.000 2.236 1.291 3.651" Properties=species:S:1:pos:R:3 pbc="T T T"
Zn 0.000 0.000 0.000
Co 2.236 1.291 0.913
Th 4.472 2.582 1.826
```